ScTc2Rh after structural relaxation, computed with PBE.

**DOS at the Fermi energy**: 1.1012 states/eV/atom
**SG**: Pm, No. 6
**Calculated formation energy**: -0.6 eV/f.u.
**Calculated density**: 9.06 g/cm³
**Size of the total moment**: 0.000 μB/cell
**ΔE to the lowest computed polymorph**: 53 meV/atom

a = 4.375 Å, b = 2.847 Å, c = 5.114 Å
α = 81.81°, β = 90.00°, γ = 90.00°
Element x y z (fractional)
Tc 0.000 0.010 0.051
Tc 0.500 0.364 0.208
Rh 0.000 0.352 0.532
Sc 0.500 0.774 0.709